Entry 1:
Entry from Alexandria via LeMat-Bulk: Zn2OsW after structural relaxation (PBE-GGA).

density	14.1	g/cm³
calculated formation energy	0.99	eV per formula unit

Cell lengths 4.653, 4.653, 4.807 Å; angles 97.60, 97.60, 35.13 degrees
Fractional positions:
Zn 0.000 0.000 0.000
Zn 0.246 0.246 0.792
Os 0.744 0.744 0.290
W 0.494 0.494 0.497

---

Entry 2:
Entry from Alexandria via LeMat-Bulk: Zn2OsW after structural relaxation (PBE-GGA).

density	14.1	g/cm³
calculated formation energy	1.09	eV per formula unit

Cell lengths 5.213, 5.213, 5.213 Å; angles 146.46, 129.78, 61.75 degrees
Fractional positions:
Zn 0.244 0.244 0.000
Zn 0.756 0.756 0.000
Os 0.000 0.500 0.500
W 0.500 0.000 0.500

---

Entry 3:
Entry from Alexandria via LeMat-Bulk: Zn4OsW after structural relaxation (PBE-GGA).

density	12.8	g/cm³
calculated formation energy	1.63	eV per formula unit

Cell lengths 4.888, 4.888, 4.888 Å; angles 60.00, 60.00, 60.00 degrees
Fractional positions:
Zn 0.125 0.125 0.125
Zn 0.125 0.125 0.624
Zn 0.125 0.624 0.125
Zn 0.624 0.125 0.125
Os 0.750 0.750 0.750
W 0.500 0.500 0.500

---

Entry 4:
Entry from Alexandria via LeMat-Bulk: ZnOsW after structural relaxation (PBE-GGA).

density	16.0	g/cm³
calculated formation energy	0.94	eV per formula unit

Cell lengths 7.129, 6.919, 2.716 Å; angles 83.23, 74.54, 22.23 degrees
Fractional positions:
Zn 0.000 0.000 0.000
Os 0.667 0.667 0.333
W 0.329 0.329 0.671

---

Entry 5:
Entry from Alexandria via LeMat-Bulk: Zn2OsW after structural relaxation (PBE-GGA).

density	14.1	g/cm³
calculated formation energy	1.54	eV per formula unit

Cell lengths 5.001, 5.001, 5.001 Å; angles 136.02, 136.02, 63.94 degrees
Fractional positions:
Zn 0.250 0.750 0.500
Zn 0.750 0.250 0.500
Os 0.000 0.000 0.000
W 0.500 0.500 0.000

---

Entry 6:
Entry from Alexandria via LeMat-Bulk: Zn2OsW after structural relaxation (PBE-GGA).

density	14.2	g/cm³
calculated formation energy	1.67	eV per formula unit

Cell lengths 2.683, 2.683, 8.205 Å; angles 90.00, 90.00, 90.00 degrees
Fractional positions:
Zn 0.000 0.000 0.242
Zn 0.000 0.000 0.758
Os 0.500 0.500 0.000
W 0.500 0.500 0.500

---

Entry 7:
Entry from Alexandria via LeMat-Bulk: Zn2OsW after structural relaxation (PBE-GGA).

density	14.1	g/cm³
calculated formation energy	1.06	eV per formula unit

Cell lengths 3.009, 4.417, 4.472 Å; angles 90.00, 90.00, 90.00 degrees
Fractional positions:
Zn 0.000 0.000 0.000
Zn 0.500 0.500 0.000
Os 0.000 0.500 0.500
W 0.500 0.000 0.500

---

Entry 8:
Entry from Alexandria via LeMat-Bulk: Zn2OsW after structural relaxation (PBE-GGA).

density	14.1	g/cm³
calculated formation energy	1.29	eV per formula unit

Cell lengths 9.012, 9.012, 9.012 Å; angles 17.74, 17.74, 17.74 degrees
Fractional positions:
Zn 0.248 0.248 0.248
Zn 0.752 0.752 0.752
Os 0.500 0.500 0.500
W 0.000 0.000 0.000

---

| no. | total magnetization (μB/f.u.) |
| --- | --- |
| 1 | 0.00 |
| 2 | 0.00 |
| 3 | 0.00 |
| 4 | 0.00 |
| 5 | 0.00 |
| 6 | 0.00 |
| 7 | 0.00 |
| 8 | 0.00 |